# GGA-PBE LiGdErNi, optimized geometry
data_LiGdErNi
_cell_length_a 6.962
_cell_length_b 6.962
_cell_length_c 6.962
_cell_angle_alpha 90.00
_cell_angle_beta 90.00
_cell_angle_gamma 90.00
_symmetry_space_group_name_H-M 'F -4 3 m'
_symmetry_Int_Tables_number 216
_symmetry_space_group_name_Hall 'F -4 2 3'
loop_
_atom_site_label
_atom_site_fract_x
_atom_site_fract_y
_atom_site_fract_z
Li1 0.000 0.000 0.000
Gd1 0.250 0.250 0.750
Er1 0.250 0.250 0.250
Ni1 0.000 0.000 0.500
# * total magnetization: 7.244 μB per formula unit
# * energy relative to the elements: -0.54 eV/f.u.
# * density of states at the Fermi level: 13.7 states/eV/cell